An optimized crystal structure of Pm2DyNi2, computed with PBE.

polymorph energy (0 for the lowest one) = 28 meV/atom
total DFT energy (no corrections) = -53.96 eV/cell
energy of formation = -262 meV per atom
size of the total moment = 0.0000 μB per atom
SG = No. 127

abc: 7.6616 7.6616 3.9159
angles: 90.00 90.00 90.00
Last column: nearest neighbours and their distance in Å.
Element x y z (fractional)
Pm 0.1670 0.3330 0.0000  6 Ni 2.97-3.02
Pm 0.3330 0.8330 0.0000  6 Ni 2.97-3.02
Pm 0.6670 0.1670 0.0000  6 Ni 2.97-3.02
Pm 0.8330 0.6670 0.0000  6 Ni 2.97-3.02
Dy 0.0000 0.0000 0.5000  4 Ni 3.05
Dy 0.5000 0.5000 0.5000  4 Ni 3.05
Ni 0.1212 0.6212 0.5000  1 Ni 2.63
Ni 0.3788 0.1212 0.5000  1 Ni 2.63
Ni 0.6212 0.8788 0.5000  1 Ni 2.63
Ni 0.8788 0.3788 0.5000  1 Ni 2.63